# SiNi3 PBE relaxed
data_SiNi3
_cell_length_a 2.5898
_cell_length_b 2.5898
_cell_length_c 23.0289
_cell_angle_alpha 90.00
_cell_angle_beta 90.00
_cell_angle_gamma 120.00
_space_group_name_H-M_alt 'R -3 m'
_space_group_IT_number 166
_space_group_name_Hall '-R 3 2"'
loop_
_atom_site_label
_atom_site_type_symbol
_atom_site_fract_x
_atom_site_fract_y
_atom_site_fract_z
Si1 Si 0.0000 0.0000 0.0000
Ni1 Ni 0.0000 0.0000 0.2551
Ni2 Ni 0.0000 0.0000 0.5000
# Formation energy (no corrections), eV/f.u.: -0.71
# Crystal system: trigonal
# Total DFT energy (no corrections), eV per atom: -5.87